Entry 1:
# PBE ScNiOs, optimized geometry
# * formation energy: -0.016 eV per atom
# * volume: 46.1 Å³/cell
# * relative energy among the computed polymorphs: 0.4332 eV/atom
data_ScNiOs
_symmetry_space_group_name_H-M 'P 1'
_symmetry_Int_Tables_number 1
_symmetry_space_group_name_Hall 'P 1'
_cell_length_a 5.0611
_cell_length_b 5.0611
_cell_length_c 5.0611
_cell_angle_alpha 148.48
_cell_angle_beta 136.82
_cell_angle_gamma 54.43
loop_
_atom_site_label
_atom_site_fract_x
_atom_site_fract_y
_atom_site_fract_z
Os1 0.3552 0.3552 0.0000
Ni1 0.9756 0.9756 0.0000
Sc1 0.6692 0.6692 0.0000



Entry 2:
# PBE Mg2Si3, optimized geometry
# * volume: 395.0 Å³/cell
# * relative energy among the computed polymorphs: 0.0926 eV/atom
data_Mg2Si3
_symmetry_space_group_name_H-M 'P 1'
_symmetry_Int_Tables_number 1
_symmetry_space_group_name_Hall 'P 1'
_cell_length_a 5.8741
_cell_length_b 5.7328
_cell_length_c 13.1832
_cell_angle_alpha 68.90
_cell_angle_beta 81.61
_cell_angle_gamma 72.68
loop_
_atom_site_label
_atom_site_fract_x
_atom_site_fract_y
_atom_site_fract_z
Mg1 0.0824 0.1999 0.1800
Mg2 0.8853 0.3411 0.7863
Mg3 0.6678 0.7303 0.2194
Mg4 0.5049 0.7737 0.9827
Mg5 0.7437 0.0322 0.3949
Mg6 0.9791 0.8524 0.9912
Mg7 0.3377 0.0968 0.5698
Mg8 0.8907 0.9500 0.6621
Si1 0.9263 0.4618 0.4740
Si2 0.6966 0.6610 0.5997
Si3 0.9295 0.4064 0.9776
Si4 0.3080 0.4417 0.8715
Si5 0.2392 0.9025 0.8008
Si6 0.1649 0.7317 0.3399
Si7 0.1978 0.6428 0.1756
Si8 0.5443 0.2794 0.1888
Si9 0.5879 0.2135 0.0156
Si10 0.3084 0.5893 0.5907
Si11 0.5237 0.4794 0.4344
Si12 0.4823 0.2143 0.7450



Entry 3:
# PBE Sc2CdC, optimized geometry
# * formation energy: -0.172 eV per atom
# * volume: 74.7 Å³/cell
data_Sc2CdC
_symmetry_space_group_name_H-M 'P 1'
_symmetry_Int_Tables_number 1
_symmetry_space_group_name_Hall 'P 1'
_cell_length_a 3.2919
_cell_length_b 3.2919
_cell_length_c 7.9605
_cell_angle_alpha 90.00
_cell_angle_beta 90.00
_cell_angle_gamma 119.97
loop_
_atom_site_label
_atom_site_fract_x
_atom_site_fract_y
_atom_site_fract_z
Cd1 0.8006 0.1994 0.0000
Sc1 0.4663 0.5337 0.3321
Sc2 0.4663 0.5337 0.6679
C1 0.1329 0.8671 0.5000



Entry 4:
# PBE Er2Sc2In, optimized geometry
# * formation energy: -0.056 eV per atom
# * volume: 270.4 Å³/cell
# * relative energy among the computed polymorphs: 0.0000 eV/atom
data_Er2Sc2In
_symmetry_space_group_name_H-M 'P 1'
_symmetry_Int_Tables_number 1
_symmetry_space_group_name_Hall 'P 1'
_cell_length_a 4.5499
_cell_length_b 7.7086
_cell_length_c 7.7086
_cell_angle_alpha 90.00
_cell_angle_beta 90.00
_cell_angle_gamma 90.00
loop_
_atom_site_label
_atom_site_fract_x
_atom_site_fract_y
_atom_site_fract_z
Er1 0.5000 0.3444 0.8444
Er2 0.5000 0.1556 0.3444
Er3 0.5000 0.8444 0.6556
Er4 0.5000 0.6556 0.1556
Sc1 0.0000 0.1446 0.6446
Sc2 0.0000 0.6446 0.8554
Sc3 0.0000 0.8554 0.3554
Sc4 0.0000 0.3554 0.1446
In1 0.0000 0.0000 0.0000
In2 0.0000 0.5000 0.5000



Entry 5:
# PBE AcCe2PmPb4, optimized geometry
# * formation energy: -0.395 eV per atom
# * volume: 266.8 Å³/cell
data_AcCe2PmPb4
_symmetry_space_group_name_H-M 'P 1'
_symmetry_Int_Tables_number 1
_symmetry_space_group_name_Hall 'P 1'
_cell_length_a 5.2887
_cell_length_b 5.2887
_cell_length_c 11.4287
_cell_angle_alpha 76.62
_cell_angle_beta 76.62
_cell_angle_gamma 60.00
loop_
_atom_site_label
_atom_site_fract_x
_atom_site_fract_y
_atom_site_fract_z
Pb1 0.3842 0.3842 0.8474
Pb2 0.1283 0.1283 0.6151
Pb3 0.6158 0.6158 0.1526
Pb4 0.8717 0.8717 0.3849
Ce1 0.7563 0.7563 0.7312
Ce2 0.2437 0.2437 0.2688
Pm1 0.5000 0.5000 0.5000
Ac1 0.0000 0.0000 0.0000



Entry 6:
# PBE PuHg2Au, optimized geometry
# * formation energy: -0.188 eV per atom
# * volume: 94.3 Å³/cell
# * relative energy among the computed polymorphs: 0.0151 eV/atom
data_PuHg2Au
_symmetry_space_group_name_H-M 'P 1'
_symmetry_Int_Tables_number 1
_symmetry_space_group_name_Hall 'P 1'
_cell_length_a 5.1081
_cell_length_b 5.1081
_cell_length_c 5.1088
_cell_angle_alpha 60.00
_cell_angle_beta 60.00
_cell_angle_gamma 60.00
loop_
_atom_site_label
_atom_site_fract_x
_atom_site_fract_y
_atom_site_fract_z
Hg1 0.0001 0.0001 0.9998
Hg2 0.2500 0.2500 0.2499
Au1 0.7500 0.7500 0.7501
Pu1 0.4999 0.4999 0.5002



Entry 7:
# PBE CuNCl2, optimized geometry
# * volume: 140.8 Å³/cell
# * relative energy among the computed polymorphs: 0.1844 eV/atom
data_CuNCl2
_symmetry_space_group_name_H-M 'P 1'
_symmetry_Int_Tables_number 1
_symmetry_space_group_name_Hall 'P 1'
_cell_length_a 4.7316
_cell_length_b 4.7316
_cell_length_c 7.1254
_cell_angle_alpha 70.61
_cell_angle_beta 70.61
_cell_angle_gamma 90.00
loop_
_atom_site_label
_atom_site_fract_x
_atom_site_fract_y
_atom_site_fract_z
Cl1 0.1574 0.6250 0.2500
Cl2 0.3750 0.4074 0.7500
Cl3 0.8750 0.8426 0.7500
Cl4 0.5926 0.1250 0.2500
N1 0.2500 0.7500 0.5000
N2 0.5000 0.5000 0.0000
Cu1 0.0000 0.0000 0.0000
Cu2 0.7500 0.2500 0.5000



Entry 8:
# PBE Cr2Cd, optimized geometry
# * formation energy: 0.551 eV per atom
# * volume: 155.3 Å³/cell
data_Cr2Cd
_symmetry_space_group_name_H-M 'P 1'
_symmetry_Int_Tables_number 1
_symmetry_space_group_name_Hall 'P 1'
_cell_length_a 7.8262
_cell_length_b 7.8262
_cell_length_c 2.9285
_cell_angle_alpha 90.00
_cell_angle_beta 90.00
_cell_angle_gamma 120.00
loop_
_atom_site_label
_atom_site_fract_x
_atom_site_fract_y
_atom_site_fract_z
Cr1 0.6928 0.6928 0.0000
Cr2 0.3072 0.0000 0.0000
Cr3 0.6433 0.0000 0.5000
Cr4 0.3567 0.3567 0.5000
Cr5 0.0000 0.3072 0.0000
Cr6 0.0000 0.6433 0.5000
Cd1 0.0000 0.0000 0.5000
Cd2 0.6667 0.3333 0.0000
Cd3 0.3333 0.6667 0.0000